La2Pr5In3 after structural relaxation. Source: Alexandria via LeMat-Bulk, functional PBE-GGA.

POSCAR file:
```
La2Pr5In3
1.0
-6.5795 7.8587 3.4060
6.5795 -7.8587 3.4060
6.5795 7.8587 -3.4060
La Pr In
4 10 6
Cartesian
1.8673 3.3139 0.0000 La
8.4468 4.5448 0.0000 La
-1.8673 3.3139 3.4060 La
4.7121 4.5448 3.4060 La
5.5197 2.5121 0.0000 Pr
0.0000 0.0000 1.7030 Pr
3.3952 0.0000 1.7030 Pr
9.7638 0.0000 1.7030 Pr
5.5197 -2.5121 3.4060 Pr
1.0597 10.3708 0.0000 Pr
-3.1843 7.8587 1.7030 Pr
3.1843 7.8587 1.7030 Pr
0.0000 0.0000 5.1090 Pr
1.0597 5.3466 3.4060 Pr
4.8221 -5.5654 3.4060 In
6.5795 0.0000 1.7030 In
4.8221 5.5654 0.0000 In
1.7574 2.2933 3.4060 In
0.0000 7.8587 1.7030 In
1.7574 13.4241 0.0000 In
```

## Properties
E_form = -1.1 eV/f.u.
Space group = Ibam, No. 72
DOS(E_F) = 15.32 states/eV/f.u.